[1]
DFT (GGA-PBE) results for an optimized crystal structure of PrBi2P2Pd7.

Results
Calculated volume, Å³/f.u.: 239.4
Energy of formation, kJ/mol of formula units: -593
SG: C2/m (12)

Cell: 4.5734 4.5734 11.5324 Å, 92.61 92.61 95.85°
With the nearest neighbours (Å) after each atom.
Element x y z (fractional)
Pr: 0.0000 0.0000 0.0000  2 P 3.01, 6 Pd 3.06-3.28
Bi: 0.1522 0.1522 0.3859  4 Pd 2.81-2.94
Bi: 0.8478 0.8478 0.6141  4 Pd 2.81-2.94
P: 0.3218 0.3218 0.8140  6 Pd 2.31-2.40
P: 0.6782 0.6782 0.1860  6 Pd 2.31-2.40
Pd: 0.1621 0.5782 0.2117  2 P 2.31-2.39
Pd: 0.3669 0.3669 0.6088  1 P 2.40
Pd: 0.4218 0.8379 0.7883  2 P 2.31-2.39
Pd: 0.5000 0.5000 0.0000  2 P 2.34
Pd: 0.5782 0.1621 0.2117  2 P 2.31-2.39
Pd: 0.6331 0.6331 0.3912  1 P 2.40
Pd: 0.8379 0.4218 0.7883  2 P 2.31-2.39



[2]
DFT (GGA-PBE) results for an optimized crystal structure of Bi2P3PdPt12.

Results
Calculated volume, Å³/f.u.: 343.9
Energy of formation, kJ/mol of formula units: -212
SG: R-3m (166)

Cell: 7.6109 7.6109 7.6109 Å, 64.72 64.72 64.72°
With the nearest neighbours (Å) after each atom.
Element x y z (fractional)
Bi: 0.1143 0.1143 0.1143  6 Pt 2.79-2.87
Bi: 0.8857 0.8857 0.8857  6 Pt 2.79-2.87
P: 0.0000 0.5000 0.5000  6 Pt 2.29-2.37
P: 0.5000 0.0000 0.5000  6 Pt 2.29-2.37
P: 0.5000 0.5000 0.0000  6 Pt 2.29-2.37
Pd: 0.5000 0.5000 0.5000  6 Pt 2.56
Pt: 0.1126 0.6348 0.6348  1 P 2.29, 1 Pd 2.56
Pt: 0.1413 0.1413 0.6114  2 P 2.37
Pt: 0.1413 0.6114 0.1413  2 P 2.37
Pt: 0.3652 0.3652 0.8874  1 P 2.29, 1 Pd 2.56
Pt: 0.3652 0.8874 0.3652  1 P 2.29, 1 Pd 2.56
Pt: 0.3886 0.8587 0.8587  2 P 2.37
Pt: 0.6114 0.1413 0.1413  2 P 2.37
Pt: 0.6348 0.1126 0.6348  1 P 2.29, 1 Pd 2.56
Pt: 0.6348 0.6348 0.1126  1 P 2.29, 1 Pd 2.56
Pt: 0.8587 0.3886 0.8587  2 P 2.37
Pt: 0.8587 0.8587 0.3886  2 P 2.37
Pt: 0.8874 0.3652 0.3652  1 P 2.29, 1 Pd 2.56



[3]
DFT (GGA-PBE) results for an optimized crystal structure of BiPPd2Pt.

Results
Calculated volume, Å³/f.u.: 125.8
Energy of formation, kJ/mol of formula units: 477
SG: P4/mmm (123)

Cell: 4.9668 4.9668 5.1011 Å, 90.00 90.00 90.00°
With the nearest neighbours (Å) after each atom.
Element x y z (fractional)
Bi: 0.0000 0.0000 0.0000  2 Pt 2.55
P: 0.5000 0.5000 0.0000  4 Bi 3.51, 8 Pd 3.56
Pd: 0.0000 0.5000 0.5000  2 Pt 2.48
Pd: 0.5000 0.0000 0.5000  2 Pt 2.48
Pt: 0.0000 0.0000 0.5000  4 Pd 2.48, 2 Bi 2.55



[4]
DFT (GGA-PBE) results for an optimized crystal structure of BiP2PdS.

Results
Formation energy from raw total energies, meV per atom: 510
Calculated volume, Å³/f.u.: 106.6
Distance to the lowest polymorph of the same formula, meV per atom: 0.0
SG: P4/mmm (123)

Cell: 4.6749 4.6749 4.8786 Å, 90.00 90.00 90.00°
With the nearest neighbours (Å) after each atom.
Element x y z (fractional)
Bi: 0.0000 0.0000 0.0000  4 S 3.31, 8 P 3.38
P: 0.0000 0.5000 0.5000  2 Pd 2.34
P: 0.5000 0.0000 0.5000  2 Pd 2.34
Pd: 0.5000 0.5000 0.5000  4 P 2.34, 2 S 2.44
S: 0.5000 0.5000 0.0000  2 Pd 2.44



[5]
DFT (GGA-PBE) results for an optimized crystal structure of BiP2PdS.

Results
Formation energy from raw total energies, meV per atom: 1420
Calculated volume, Å³/f.u.: 141.4
Distance to the lowest polymorph of the same formula, meV per atom: 910.8
SG: P4/mmm (123)

Cell: 5.2551 5.2551 5.1185 Å, 90.00 90.00 90.00°
With the nearest neighbours (Å) after each atom.
Element x y z (fractional)
Bi: 0.0000 0.0000 0.0000  2 S 2.56, 4 P 2.63
P: 0.0000 0.5000 0.0000  2 Bi 2.63
P: 0.5000 0.0000 0.0000  2 Bi 2.63
Pd: 0.5000 0.5000 0.5000  8 P 3.67, 4 S 3.72
S: 0.0000 0.0000 0.5000  2 Bi 2.56



[6]
DFT (GGA-PBE) results for an optimized crystal structure of BiPPdS2.

Results
Formation energy from raw total energies, meV per atom: 351
Calculated volume, Å³/f.u.: 106.6
Distance to the lowest polymorph of the same formula, meV per atom: 0.0
SG: P4/mmm (123)

Cell: 4.8347 4.8347 4.5593 Å, 90.00 90.00 90.00°
With the nearest neighbours (Å) after each atom.
Element x y z (fractional)
Bi: 0.0000 0.0000 0.0000  8 S 3.32, 4 P 3.42
P: 0.5000 0.5000 0.0000  2 Pd 2.28
Pd: 0.5000 0.5000 0.5000  2 P 2.28, 4 S 2.42
S: 0.0000 0.5000 0.5000  2 Pd 2.42
S: 0.5000 0.0000 0.5000  2 Pd 2.42